Entry 1:
PaSnPt2 after structural relaxation. Source: Alexandria via LeMat-Bulk, functional PBE-GGA.

Symmetry: Amm2
M_tot: 0.00 μB/cell
Crystal system: orthorhombic
E_form: -2.2 eV per formula unit
E: -27.8 eV/cell

a = 3.5853 Å, b = 5.3695 Å, c = 5.3695 Å
α = 62.08°, β = 90.00°, γ = 90.00°
Atoms (fractional coordinates):
Pa 0.0000 0.0100 0.9900
Sn 0.5000 0.5015 0.4985
Pt 0.5000 0.6387 0.9351
Pt 0.5000 0.0649 0.3613

Entry 2:
ZnAgHg2 after structural relaxation. Source: Alexandria via LeMat-Bulk, functional PBE-GGA.

Symmetry: Pmmm
M_tot: 0.00 μB/cell
Crystal system: orthorhombic
E_form: 0.5 eV per formula unit
E: -4.3 eV/cell

a = 3.5094 Å, b = 4.0175 Å, c = 5.8073 Å
α = 90.00°, β = 90.00°, γ = 90.00°
Atoms (fractional coordinates):
Ag 0.5000 0.5000 0.7500
Hg 0.0000 0.0000 0.0008
Hg 0.0000 0.0000 0.4992
Zn 0.5000 0.5000 0.2500

Entry 3:
ZrSc2NbN after structural relaxation. Source: Alexandria via LeMat-Bulk, functional PBE-GGA.

Symmetry: P4/mmm
M_tot: 0.00 μB/cell
Crystal system: tetragonal
E: -42.6 eV/cell
E_form (uncorrected): -599 meV per atom

a = 4.3793 Å, b = 4.3793 Å, c = 4.6514 Å
α = 90.00°, β = 90.00°, γ = 90.00°
Atoms (fractional coordinates):
Sc 0.0000 0.5000 0.0000
Sc 0.5000 0.0000 0.0000
Nb 0.5000 0.5000 0.5000
Zr 0.0000 0.0000 0.5000
N 0.0000 0.0000 0.0000

Entry 4:
DyTmTeSe2 after structural relaxation. Source: Alexandria via LeMat-Bulk, functional PBE-GGA.

Symmetry: I4mm
M_tot: 0.00 μB/cell
Crystal system: tetragonal
E: -25.6 eV/cell
E_form (uncorrected): -1290 meV per atom

a = 4.6184 Å, b = 4.6184 Å, c = 7.6881 Å
α = 107.48°, β = 107.48°, γ = 90.00°
Atoms (fractional coordinates):
Dy 0.1387 0.1387 0.2774
Tm 0.8580 0.8580 0.7161
Te 0.5009 0.5009 0.0018
Se 0.7512 0.2512 0.5024
Se 0.2512 0.7512 0.5024

Entry 5:
Er8SnC4 after structural relaxation. Source: Alexandria via LeMat-Bulk, functional PBE-GGA.

Symmetry: C2/m
Energy above the most stable polymorph in this dataset: 0 meV/atom
M_tot: 0.04 μB/cell
Crystal system: monoclinic
E_form: -4.8 eV per formula unit
E: -82.2 eV/cell

a = 3.5969 Å, b = 8.7916 Å, c = 9.0731 Å
α = 82.41°, β = 78.57°, γ = 78.20°
Atoms (fractional coordinates):
Er 0.1478 0.3271 0.3772
Er 0.5574 0.6549 0.2303
Er 0.4740 0.3486 0.7034
Er 0.8837 0.6761 0.5564
Er 0.8524 0.9896 0.3055
Er 0.2182 0.6630 0.9006
Er 0.1789 0.0138 0.6284
Er 0.8132 0.3405 0.0330
Sn 0.5156 0.0017 0.9670
C 0.3673 0.8363 0.4291
C 0.8488 0.5063 0.7960
C 0.1826 0.4972 0.1376
C 0.6641 0.1670 0.5048

Entry 6:
Ba5CaIn6 after structural relaxation. Source: Alexandria via LeMat-Bulk, functional PBE-GGA.

Symmetry: C2/m
M_tot: 0.00 μB/cell
Crystal system: monoclinic
E_form: -4.9 eV per formula unit
E: -32.9 eV/cell

a = 5.9697 Å, b = 8.3048 Å, c = 10.3318 Å
α = 66.30°, β = 73.19°, γ = 90.01°
Atoms (fractional coordinates):
Ca 0.0000 0.0000 0.0000
Ba 0.6817 0.1827 0.6346
Ba 0.3427 0.3417 0.3165
Ba 0.0000 0.5000 0.0000
Ba 0.6573 0.6583 0.6835
Ba 0.3183 0.8173 0.3654
In 0.8454 0.6281 0.3110
In 0.8457 0.0609 0.3110
In 0.4998 0.7976 0.0000
In 0.5002 0.2024 0.0000
In 0.1543 0.9391 0.6890
In 0.1546 0.3719 0.6890

Entry 7:
Ba3Ga2BiO8 after structural relaxation. Source: Alexandria via LeMat-Bulk, functional PBE-GGA.

Symmetry: P-3m1
M_tot: 0.00 μB/cell
Crystal system: trigonal
E: -83.9 eV/cell
E_form (uncorrected): -2041 meV per atom

a = 6.0314 Å, b = 6.0314 Å, c = 7.6407 Å
α = 90.00°, β = 90.00°, γ = 120.00°
Atoms (fractional coordinates):
Ba 0.3333 0.6667 0.6612
Ba 0.6667 0.3333 0.3388
Ba 0.0000 0.0000 0.0000
Ga 0.3333 0.6667 0.2125
Ga 0.6667 0.3333 0.7875
Bi 0.0000 0.0000 0.5000
O 0.3333 0.6667 0.9797
O 0.6667 0.3333 0.0203
O 0.1692 0.8308 0.3181
O 0.8308 0.1692 0.6819
O 0.1692 0.3383 0.3181
O 0.8308 0.6617 0.6819
O 0.6617 0.8308 0.3181
O 0.3383 0.1692 0.6819

Entry 8:
IrCl2F after structural relaxation. Source: Alexandria via LeMat-Bulk, functional PBE-GGA.

Symmetry: Immm
Energy above the most stable polymorph in this dataset: 0 meV/atom
M_tot: 0.01 μB/cell
Crystal system: orthorhombic
E: -17.1 eV/cell
E_form (uncorrected): -667 meV per atom

a = 3.5264 Å, b = 4.1181 Å, c = 6.6906 Å
α = 107.91°, β = 105.26°, γ = 90.00°
Atoms (fractional coordinates):
Ir 0.4999 0.0089 0.9999
Cl 0.1276 0.1368 0.2555
Cl 0.8723 0.8814 0.7444
F 0.5002 0.5090 0.0001

Entry 9:
Hf2PbNCl after structural relaxation. Source: Alexandria via LeMat-Bulk, functional PBE-GGA.

Symmetry: P4/mmm
M_tot: 0.00 μB/cell
Crystal system: tetragonal
E: -29.7 eV/cell
E_form (uncorrected): 811 meV per atom

a = 4.9285 Å, b = 3.9117 Å, c = 4.9285 Å
α = 90.00°, β = 90.00°, γ = 90.00°
Atoms (fractional coordinates):
Pb 0.5000 0.5000 0.5000
N 0.0000 0.5000 0.0000
Hf 0.0000 0.0000 0.5000
Hf 0.5000 0.0000 0.0000
Cl 0.0000 0.0000 0.0000

Entry 10:
ZnCdPt after structural relaxation. Source: Alexandria via LeMat-Bulk, functional PBE-GGA.

Symmetry: I4mm
M_tot: 0.00 μB/cell
Crystal system: tetragonal
E_form: -0.8 eV per formula unit
E: -9.0 eV/cell

a = 5.8867 Å, b = 5.8868 Å, c = 3.0562 Å
α = 74.95°, β = 74.96°, γ = 30.09°
Atoms (fractional coordinates):
Cd 0.9970 0.9970 0.0030
Pt 0.3191 0.3191 0.6809
Zn 0.6839 0.6839 0.3161

Entry 11:
ZrTe2RuI after structural relaxation. Source: Alexandria via LeMat-Bulk, functional PBE-GGA.

Symmetry: P4/mmm
Energy above the most stable polymorph in this dataset: 0 meV/atom
M_tot: 0.00 μB/cell
Crystal system: tetragonal
E: -23.0 eV/cell
E_form (uncorrected): 537 meV per atom

a = 5.1889 Å, b = 5.1889 Å, c = 5.1933 Å
α = 90.00°, β = 90.00°, γ = 90.00°
Atoms (fractional coordinates):
I 0.0000 0.0000 0.5000
Ru 0.0000 0.0000 0.0000
Te 0.0000 0.5000 0.0000
Te 0.5000 0.0000 0.0000
Zr 0.5000 0.5000 0.5000

Entry 12:
PmZn3Ga2 after structural relaxation. Source: Alexandria via LeMat-Bulk, functional PBE-GGA.

Symmetry: C2/m
M_tot: 0.00 μB/cell
Crystal system: monoclinic
E_form: -2.1 eV per formula unit
E: -33.5 eV/cell

a = 4.2111 Å, b = 8.0397 Å, c = 7.5957 Å
α = 114.91°, β = 90.00°, γ = 105.18°
Atoms (fractional coordinates):
Pm 0.8536 0.7073 0.9268
Pm 0.1464 0.2927 0.0732
Zn 0.3116 0.6232 0.5409
Zn 0.9632 0.9264 0.6259
Zn 0.6057 0.2114 0.7040
Zn 0.3943 0.7886 0.2960
Zn 0.0368 0.0736 0.3741
Zn 0.6884 0.3768 0.4591
Ga 0.4793 0.9585 0.8252
Ga 0.5207 0.0415 0.1748
Ga 0.8001 0.6002 0.2893
Ga 0.1999 0.3998 0.7107

Entry 13:
CaAs2WBr after structural relaxation. Source: Alexandria via LeMat-Bulk, functional PBE-GGA.

Symmetry: P4/mmm
Energy above the most stable polymorph in this dataset: 0 meV/atom
M_tot: 0.53 μB/cell
Crystal system: tetragonal
E: -26.5 eV/cell
E_form (uncorrected): -108 meV per atom

a = 4.8652 Å, b = 4.8652 Å, c = 5.4980 Å
α = 90.00°, β = 90.00°, γ = 90.00°
Atoms (fractional coordinates):
As 0.0000 0.5000 0.0000
As 0.5000 0.0000 0.0000
Ca 0.5000 0.5000 0.5000
Br 0.0000 0.0000 0.5000
W 0.0000 0.0000 0.0000

Entry 14:
IrRuPt2 after structural relaxation. Source: Alexandria via LeMat-Bulk, functional PBE-GGA.

Symmetry: I-42d
Energy above the most stable polymorph in this dataset: 637 meV/atom
M_tot: 0.00 μB/cell
Crystal system: tetragonal
E_form: 2.4 eV per formula unit
E: -55.7 eV/cell

a = 6.9932 Å, b = 6.9932 Å, c = 5.6342 Å
α = 51.64°, β = 51.64°, γ = 90.00°
Atoms (fractional coordinates):
Ru 0.5000 0.5000 0.0000
Ru 0.2500 0.7500 0.5000
Ir 0.0000 0.0000 0.0000
Ir 0.7500 0.2500 0.5000
Pt 0.6209 0.1250 0.2500
Pt 0.1291 0.6250 0.2500
Pt 0.3750 0.3791 0.7500
Pt 0.8750 0.8709 0.7500

Entry 15:
GeP2IrOs after structural relaxation. Source: Alexandria via LeMat-Bulk, functional PBE-GGA.

Symmetry: P4/mmm
M_tot: 0.00 μB/cell
Crystal system: tetragonal
E_form: 6.2 eV per formula unit
E: -29.3 eV/cell

a = 4.4679 Å, b = 5.0176 Å, c = 4.4679 Å
α = 90.00°, β = 90.00°, γ = 90.00°
Atoms (fractional coordinates):
P 0.0000 0.0000 0.5000
P 0.5000 0.0000 0.0000
Ge 0.5000 0.5000 0.5000
Ir 0.0000 0.0000 0.0000
Os 0.0000 0.5000 0.0000

Entry 16:
Ho4Pd3Pt after structural relaxation. Source: Alexandria via LeMat-Bulk, functional PBE-GGA.

Symmetry: Pmm2
M_tot: 0.00 μB/cell
Crystal system: orthorhombic
E_form: -8.2 eV per formula unit
E: -48.2 eV/cell

a = 3.7423 Å, b = 4.5045 Å, c = 10.4984 Å
α = 90.00°, β = 90.00°, γ = 90.00°
Atoms (fractional coordinates):
Ho 0.5000 0.5000 0.3594
Ho 0.0000 0.5000 0.8653
Ho 0.0000 0.0000 0.1378
Ho 0.5000 0.0000 0.6378
Pd 0.0000 0.5000 0.5868
Pd 0.0000 0.0000 0.4150
Pd 0.5000 0.0000 0.9108
Pt 0.5000 0.5000 0.0870

Entry 17:
TaTi2Nb3 after structural relaxation. Source: Alexandria via LeMat-Bulk, functional PBE-GGA.

Symmetry: P-1
Energy above the most stable polymorph in this dataset: 0 meV/atom
M_tot: 0.00 μB/cell
Crystal system: triclinic
E_form: 0.1 eV per formula unit
E: -115.6 eV/cell

a = 5.7362 Å, b = 8.5951 Å, c = 7.1944 Å
α = 125.50°, β = 131.95°, γ = 70.37°
Atoms (fractional coordinates):
Ta 0.9712 0.6573 0.2494
Ta 0.0288 0.3427 0.7506
Ti 0.6374 0.9892 0.2498
Ti 0.3626 0.0108 0.7502
Ti 0.6993 0.6777 0.7505
Ti 0.3007 0.3223 0.2495
Nb 0.4532 0.6749 0.2495
Nb 0.5468 0.3251 0.7505
Nb 0.7871 0.3411 0.2534
Nb 0.8813 0.9911 0.7490
Nb 0.2129 0.6589 0.7466
Nb 0.1187 0.0089 0.2510

Entry 18:
BaAgO after structural relaxation. Source: Alexandria via LeMat-Bulk, functional PBE-GGA.

Symmetry: Pmmn
Energy above the most stable polymorph in this dataset: 0 meV/atom
M_tot: 0.00 μB/cell
Crystal system: orthorhombic
E: -28.3 eV/cell
E_form (uncorrected): -1470 meV per atom

a = 3.8744 Å, b = 3.8445 Å, c = 9.6098 Å
α = 90.00°, β = 66.21°, γ = 89.99°
Atoms (fractional coordinates):
Ba 0.3983 0.7163 0.0596
Ba 0.2250 0.2161 0.7333
Ag 0.6289 0.2162 0.3290
Ag 0.9942 0.7161 0.4639
O 0.9166 0.2163 0.0412
O 0.7067 0.7161 0.7517

Entry 19:
SeI after structural relaxation. Source: Alexandria via LeMat-Bulk, functional PBE-GGA.

Symmetry: P6_3mc
M_tot: 0.00 μB/cell
Crystal system: hexagonal
E: -7.6 eV/cell
E_form (uncorrected): 608 meV per atom

a = 4.8856 Å, b = 4.8856 Å, c = 9.2596 Å
α = 90.00°, β = 90.00°, γ = 120.00°
Atoms (fractional coordinates):
Se 0.3333 0.6667 0.3193
Se 0.6667 0.3333 0.8193
I 0.3333 0.6667 0.7627
I 0.6667 0.3333 0.2627

Entry 20:
Pm12ScIn3 after structural relaxation. Source: Alexandria via LeMat-Bulk, functional PBE-GGA.

Symmetry: P4/mmm
M_tot: 0.00 μB/cell
Crystal system: tetragonal
E_form: -3.1 eV per formula unit
E: -74.7 eV/cell

a = 4.9561 Å, b = 4.9561 Å, c = 20.0639 Å
α = 90.00°, β = 90.00°, γ = 90.00°
Atoms (fractional coordinates):
Pm 0.5000 0.5000 0.0000
Pm 0.5000 0.5000 0.2511
Pm 0.5000 0.5000 0.5000
Pm 0.5000 0.5000 0.7489
Pm 0.5000 0.0000 0.1269
Pm 0.5000 0.0000 0.3755
Pm 0.5000 0.0000 0.6245
Pm 0.5000 0.0000 0.8731
Pm 0.0000 0.5000 0.1269
Pm 0.0000 0.5000 0.3755
Pm 0.0000 0.5000 0.6245
Pm 0.0000 0.5000 0.8731
Sc 0.0000 0.0000 0.0000
In 0.0000 0.0000 0.2537
In 0.0000 0.0000 0.5000
In 0.0000 0.0000 0.7463

Entry 21:
YHgW2 after structural relaxation. Source: Alexandria via LeMat-Bulk, functional PBE-GGA.

Symmetry: Imm2
M_tot: 0.00 μB/cell
Crystal system: orthorhombic
E_form: 2.1 eV per formula unit
E: -30.6 eV/cell

a = 5.2949 Å, b = 5.2949 Å, c = 5.2949 Å
α = 136.64°, β = 125.27°, γ = 72.27°
Atoms (fractional coordinates):
Hg 0.2421 0.7421 0.5000
W 0.9667 0.9667 0.0000
W 0.7740 0.2740 0.5000
Y 0.5172 0.5172 0.0000

Entry 22:
LiMoI2N after structural relaxation. Source: Alexandria via LeMat-Bulk, functional PBE-GGA.

Symmetry: P4/mmm
Energy above the most stable polymorph in this dataset: 1325 meV/atom
M_tot: 3.71 μB/cell
Crystal system: tetragonal
E: -17.9 eV/cell
E_form (uncorrected): 1257 meV per atom

a = 5.3038 Å, b = 5.3038 Å, c = 3.7083 Å
α = 90.00°, β = 90.00°, γ = 90.00°
Atoms (fractional coordinates):
I 0.0000 0.5000 0.0000
I 0.5000 0.0000 0.0000
Mo 0.5000 0.5000 0.5000
Li 0.0000 0.0000 0.0000
N 0.0000 0.0000 0.5000

Entry 23:
HfSN2F after structural relaxation. Source: Alexandria via LeMat-Bulk, functional PBE-GGA.

Symmetry: P4/mmm
Energy above the most stable polymorph in this dataset: 625 meV/atom
M_tot: 0.00 μB/cell
Crystal system: tetragonal
E: -30.1 eV/cell
E_form (uncorrected): 503 meV per atom

a = 3.8194 Å, b = 3.8194 Å, c = 3.8130 Å
α = 90.00°, β = 90.00°, γ = 90.00°
Atoms (fractional coordinates):
S 0.0000 0.0000 0.0000
N 0.0000 0.5000 0.0000
N 0.5000 0.0000 0.0000
Hf 0.5000 0.5000 0.5000
F 0.0000 0.0000 0.5000

Entry 24:
YAl2Pd after structural relaxation. Source: Alexandria via LeMat-Bulk, functional PBE-GGA.

Symmetry: Pnma
M_tot: 0.00 μB/cell
Crystal system: orthorhombic
E_form: -3.1 eV per formula unit
E: -178.0 eV/cell

a = 5.5703 Å, b = 6.9202 Å, c = 15.9523 Å
α = 90.00°, β = 90.00°, γ = 90.00°
Atoms (fractional coordinates):
Y 0.4730 0.2500 0.1441
Y 0.9730 0.7500 0.3559
Y 0.5270 0.7500 0.8559
Y 0.0270 0.2500 0.6441
Y 0.7318 0.2500 0.3926
Y 0.2318 0.7500 0.1074
Y 0.2682 0.7500 0.6074
Y 0.7682 0.2500 0.8926
Al 0.9570 0.0555 0.2138
Al 0.4570 0.9445 0.2862
Al 0.0430 0.5555 0.7862
Al 0.5430 0.4445 0.7138
Al 0.0430 0.9445 0.7862
Al 0.5430 0.0555 0.7138
Al 0.9570 0.4445 0.2138
Al 0.4570 0.5555 0.2862
Al 0.7419 0.5532 0.0342
Al 0.2419 0.4468 0.4658
Al 0.2581 0.0532 0.9658
Al 0.7581 0.9468 0.5342
Al 0.2581 0.4468 0.9658
Al 0.7581 0.5532 0.5342
Al 0.7419 0.9468 0.0342
Al 0.2419 0.0532 0.4658
Pd 0.2155 0.2500 0.3244
Pd 0.7155 0.7500 0.1756
Pd 0.7845 0.7500 0.6756
Pd 0.2845 0.2500 0.8244
Pd 0.9918 0.2500 0.0722
Pd 0.4918 0.7500 0.4278
Pd 0.0082 0.7500 0.9278
Pd 0.5082 0.2500 0.5722

Entry 25:
SrEuS2 after structural relaxation. Source: Alexandria via LeMat-Bulk, functional PBE-GGA.

Symmetry: R-3m
M_tot: 7.00 μB/cell
Crystal system: trigonal
E: -28.8 eV/cell
E_form (uncorrected): -2137 meV per atom

a = 7.3303 Å, b = 7.3303 Å, c = 7.3303 Å
α = 33.49°, β = 33.49°, γ = 33.49°
Atoms (fractional coordinates):
Eu 0.0000 0.0000 0.0000
Sr 0.5000 0.5000 0.5000
S 0.2522 0.2522 0.2522
S 0.7478 0.7478 0.7478

no.,DOS at the Fermi energy (states/eV/cell)
1,3.178
2,0.999
3,6.706
4,1.201
5,9.792
6,7.245
7,3.181
8,2.197
9,2.832
10,1.378
11,5.338
12,2.663
13,3.707
14,11.610
15,4.575
16,6.081
17,18.945
18,0.936
19,6.307
20,23.251
21,3.645
22,6.522
23,1.828
24,16.974
25,12.315